one) This record from Alexandria describes a PBEsol-optimized structure of AlIn2Cl. The functional is SCAN.

Geometry as CIF:
```
data_AlIn2Cl
_chemical_formula_sum 'Al2 In4 Cl2'
_cell_length_a 4.784
_cell_length_b 4.784
_cell_length_c 7.999
_cell_angle_alpha 90.00
_cell_angle_beta 90.00
_cell_angle_gamma 90.00
_space_group_name_H-M_alt 'I 4/m m m'
_space_group_IT_number 139
_space_group_name_Hall '-I 4 2'
loop_
_atom_site_label
_atom_site_type_symbol
_atom_site_fract_x
_atom_site_fract_y
_atom_site_fract_z
Al1 Al 0.000 0.000 0.000
In1 In 0.000 0.500 0.250
Cl1 Cl 0.000 0.000 0.500
```

## Properties
Density of states at the Fermi level ... 1.8 states/eV/f.u.
Theoretical density ... 5298 kg/m3

two) This record from Alexandria describes a PBEsol-optimized structure of AlIn2Cl. The functional is SCAN.

Geometry as CIF:
```
data_AlIn2Cl
_chemical_formula_sum 'Al1 In2 Cl1'
_cell_length_a 3.270
_cell_length_b 3.270
_cell_length_c 8.392
_cell_angle_alpha 90.00
_cell_angle_beta 90.00
_cell_angle_gamma 90.00
_space_group_name_H-M_alt 'P 4/m m m'
_space_group_IT_number 123
_space_group_name_Hall '-P 4 2'
loop_
_atom_site_label
_atom_site_type_symbol
_atom_site_fract_x
_atom_site_fract_y
_atom_site_fract_z
Al1 Al 0.000 0.000 0.000
In1 In 0.500 0.500 0.245
Cl1 Cl 0.000 0.000 0.500
```

## Properties
Density of states at the Fermi level ... 2.1 states/eV/f.u.
Theoretical density ... 5403 kg/m3

Which one is most stable, and which one is least stable? two) is the most stable of them, while one) is the least stable.

one) This record from Alexandria describes a PBEsol-optimized structure of HgPb5. The functional is SCAN.

Geometry as CIF:
```
data_HgPb5
_chemical_formula_sum 'Hg2 Pb10'
_cell_length_a 5.711
_cell_length_b 3.410
_cell_length_c 17.608
_cell_angle_alpha 90.00
_cell_angle_beta 90.00
_cell_angle_gamma 90.00
_space_group_name_H-M_alt 'A m m 2'
_space_group_IT_number 38
loop_
_space_group_symop_operation_xyz
'x,y,z'
'-x,-y,z'
'-x,y,z'
'x,-y,z'
'x,y+1/2,z+1/2'
'-x,-y+1/2,z+1/2'
'-x,y+1/2,z+1/2'
'x,-y+1/2,z+1/2'
loop_
_atom_site_label
_atom_site_type_symbol
_atom_site_fract_x
_atom_site_fract_y
_atom_site_fract_z
Hg1 Hg 0.000 0.000 0.000
Pb1 Pb 0.000 0.000 0.338
Pb2 Pb 0.000 0.000 0.664
Pb3 Pb 0.500 0.000 0.105
Pb4 Pb 0.500 0.000 0.440
Pb5 Pb 0.500 0.000 0.774
```

## Properties
Density of states at the Fermi level ... 2.8 states/eV/f.u.
Theoretical density ... 11978 kg/m3

two) This record from Alexandria describes a PBEsol-optimized structure of HgPb5. The functional is SCAN.

Geometry as CIF:
```
data_HgPb5
_chemical_formula_sum 'Hg2 Pb10'
_cell_length_a 4.923
_cell_length_b 14.831
_cell_length_c 4.682
_cell_angle_alpha 90.00
_cell_angle_beta 90.00
_cell_angle_gamma 90.00
_space_group_name_H-M_alt 'C m m m'
_space_group_IT_number 65
_space_group_name_Hall '-C 2 2'
loop_
_atom_site_label
_atom_site_type_symbol
_atom_site_fract_x
_atom_site_fract_y
_atom_site_fract_z
Hg1 Hg 0.000 0.000 0.000
Pb1 Pb 0.000 0.162 0.500
Pb2 Pb 0.000 0.334 0.000
Pb3 Pb 0.000 0.500 0.500
```

## Properties
Density of states at the Fermi level ... 2.6 states/eV/f.u.
Theoretical density ... 12014 kg/m3

Which one is most stable, and which one is least stable? two) is the most stable of them, while one) is the least stable.

one) This record from Alexandria describes a PBEsol-optimized structure of MoPt2. The functional is SCAN.

Geometry as CIF:
```
data_MoPt2
_chemical_formula_sum 'Mo2 Pt4'
_cell_length_a 2.738
_cell_length_b 3.937
_cell_length_c 8.248
_cell_angle_alpha 90.00
_cell_angle_beta 90.00
_cell_angle_gamma 90.00
_space_group_name_H-M_alt 'I m m m'
_space_group_IT_number 71
_space_group_name_Hall '-I 2 2'
loop_
_atom_site_label
_atom_site_type_symbol
_atom_site_fract_x
_atom_site_fract_y
_atom_site_fract_z
Mo1 Mo 0.000 0.000 0.000
Pt1 Pt 0.000 0.000 0.337
```

## Properties
Density of states at the Fermi level ... 1.7 states/eV/f.u.
Theoretical density ... 18161 kg/m3

two) This record from Alexandria describes a PBEsol-optimized structure of MoPt2. The functional is SCAN.

Geometry as CIF:
```
data_MoPt2
_chemical_formula_sum 'Mo2 Pt4'
_cell_length_a 2.743
_cell_length_b 2.743
_cell_length_c 11.882
_cell_angle_alpha 90.00
_cell_angle_beta 90.00
_cell_angle_gamma 90.00
_space_group_name_H-M_alt 'I 4/m m m'
_space_group_IT_number 139
_space_group_name_Hall '-I 4 2'
loop_
_atom_site_label
_atom_site_type_symbol
_atom_site_fract_x
_atom_site_fract_y
_atom_site_fract_z
Mo1 Mo 0.000 0.000 0.000
Pt1 Pt 0.000 0.000 0.340
```

## Properties
Density of states at the Fermi level ... 1.8 states/eV/f.u.
Theoretical density ... 18060 kg/m3

Which one is most stable, and which one is least stable? one) is the most stable of them, while two) is the least stable.

one) This record from Alexandria describes a PBEsol-optimized structure of KBaCa2. The functional is SCAN.

Geometry as CIF:
```
data_KBaCa2
_chemical_formula_sum 'K2 Ba2 Ca4'
_cell_length_a 4.632
_cell_length_b 6.416
_cell_length_c 13.355
_cell_angle_alpha 90.00
_cell_angle_beta 90.00
_cell_angle_gamma 90.00
_space_group_name_H-M_alt 'C m m m'
_space_group_IT_number 65
_space_group_name_Hall '-C 2 2'
loop_
_atom_site_label
_atom_site_type_symbol
_atom_site_fract_x
_atom_site_fract_y
_atom_site_fract_z
K1 K 0.000 0.000 0.000
Ba1 Ba 0.000 0.000 0.500
Ca1 Ca 0.000 0.500 0.260
```

## Properties
Density of states at the Fermi level ... 4.5 states/eV/f.u.
Theoretical density ... 2147 kg/m3

two) This record from Alexandria describes a PBEsol-optimized structure of KBaCa2. The functional is SCAN.

Geometry as CIF:
```
data_KBaCa2
_chemical_formula_sum 'K2 Ba2 Ca4'
_cell_length_a 5.913
_cell_length_b 5.913
_cell_length_c 11.415
_cell_angle_alpha 90.00
_cell_angle_beta 90.00
_cell_angle_gamma 90.00
_space_group_name_H-M_alt 'I -4 m 2'
_space_group_IT_number 119
_space_group_name_Hall 'I -4 -2'
loop_
_atom_site_label
_atom_site_type_symbol
_atom_site_fract_x
_atom_site_fract_y
_atom_site_fract_z
K1 K 0.000 0.000 0.000
Ba1 Ba 0.000 0.500 0.250
Ca1 Ca 0.000 0.000 0.500
Ca2 Ca 0.000 0.500 0.750
```

## Properties
Density of states at the Fermi level ... 4.0 states/eV/f.u.
Theoretical density ... 2135 kg/m3

Which one is most stable, and which one is least stable? one) is the most stable of them, while two) is the least stable.

one) This record from Alexandria describes a PBEsol-optimized structure of NiPSeO2. The functional is SCAN.

Geometry as CIF:
```
data_NiPSeO2
_chemical_formula_sum 'Ni1 P1 Se1 O2'
_cell_length_a 3.602
_cell_length_b 3.602
_cell_length_c 5.043
_cell_angle_alpha 90.00
_cell_angle_beta 90.00
_cell_angle_gamma 90.00
_space_group_name_H-M_alt 'P 4/m m m'
_space_group_IT_number 123
_space_group_name_Hall '-P 4 2'
loop_
_atom_site_label
_atom_site_type_symbol
_atom_site_fract_x
_atom_site_fract_y
_atom_site_fract_z
Ni1 Ni 0.000 0.000 0.000
P1 P 0.500 0.500 0.000
Se1 Se 0.500 0.500 0.500
O1 O 0.000 0.500 0.500
```

## Properties
Density of states at the Fermi level ... 1.8 states/eV/f.u.
Theoretical density ... 5092 kg/m3

two) This record from Alexandria describes a PBEsol-optimized structure of NiPSeO2. The functional is SCAN.

Geometry as CIF:
```
data_NiPSeO2
_chemical_formula_sum 'Ni1 P1 Se1 O2'
_cell_length_a 3.552
_cell_length_b 3.552
_cell_length_c 5.277
_cell_angle_alpha 90.00
_cell_angle_beta 90.00
_cell_angle_gamma 90.00
_space_group_name_H-M_alt 'P 4/m m m'
_space_group_IT_number 123
_space_group_name_Hall '-P 4 2'
loop_
_atom_site_label
_atom_site_type_symbol
_atom_site_fract_x
_atom_site_fract_y
_atom_site_fract_z
Ni1 Ni 0.000 0.000 0.000
P1 P 0.000 0.000 0.500
Se1 Se 0.500 0.500 0.500
O1 O 0.000 0.500 0.000
```

## Properties
Density of states at the Fermi level ... 2.7 states/eV/f.u.
Theoretical density ... 5003 kg/m3

Which one is most stable, and which one is least stable? two) is the most stable of them, while one) is the least stable.

one) This record from Alexandria describes a PBEsol-optimized structure of Y2MgAl. The functional is SCAN.

Geometry as CIF:
```
data_Y2MgAl
_chemical_formula_sum 'Y8 Mg4 Al4'
_cell_length_a 7.282
_cell_length_b 7.282
_cell_length_c 7.282
_cell_angle_alpha 90.00
_cell_angle_beta 90.00
_cell_angle_gamma 90.00
_space_group_name_H-M_alt 'F m -3 m'
_space_group_IT_number 225
_space_group_name_Hall '-F 4 2 3'
loop_
_atom_site_label
_atom_site_type_symbol
_atom_site_fract_x
_atom_site_fract_y
_atom_site_fract_z
Y1 Y 0.250 0.250 0.250
Mg1 Mg 0.000 0.000 0.000
Al1 Al 0.000 0.000 0.500
```

## Properties
Density of states at the Fermi level ... 2.3 states/eV/f.u.
Theoretical density ... 3941 kg/m3

two) This record from Alexandria describes a PBEsol-optimized structure of Y2MgAl. The functional is SCAN.

Geometry as CIF:
```
data_Y2MgAl
_chemical_formula_sum 'Y4 Mg2 Al2'
_cell_length_a 3.657
_cell_length_b 5.096
_cell_length_c 10.578
_cell_angle_alpha 90.00
_cell_angle_beta 90.00
_cell_angle_gamma 90.00
_space_group_name_H-M_alt 'I m m 2'
_space_group_IT_number 44
loop_
_space_group_symop_operation_xyz
'x,y,z'
'-x,-y,z'
'-x,y,z'
'x,-y,z'
'x+1/2,y+1/2,z+1/2'
'-x+1/2,-y+1/2,z+1/2'
'-x+1/2,y+1/2,z+1/2'
'x+1/2,-y+1/2,z+1/2'
loop_
_atom_site_label
_atom_site_type_symbol
_atom_site_fract_x
_atom_site_fract_y
_atom_site_fract_z
Y1 Y 0.000 0.000 0.000
Y2 Y 0.000 0.500 0.228
Mg1 Mg 0.000 0.000 0.455
Al1 Al 0.000 0.500 0.753
```

## Properties
Density of states at the Fermi level ... 4.0 states/eV/f.u.
Theoretical density ... 3859 kg/m3

Which one is most stable, and which one is least stable? one) is the most stable of them, while two) is the least stable.